1.
{
  "formula": "Rb3H3Pd",
  "functional": "GGA-PBE",
  "state": "relaxed",
  "lattice_angstrom": [[5.9156, 0.3049, -2.2391], [-2.5910, 4.4095, -1.8444], [-0.1792, 0.3049, 6.3227]],
  "species": ["Rb", "Rb", "Rb", "H", "H", "H", "Pd"],
  "fractional_positions": [[0.6093, 0.0118, 0.0000], [0.3907, 0.4025, 0.3907], [0.0000, 0.0118, 0.6093], [0.7105, 0.5521, 0.0000], [0.2895, 0.8417, 0.2895], [0.0000, 0.5521, 0.7105], [0.0000, 0.6530, 0.0000]],
  "volume_a3_per_cell": 173.3,
  "energy_ev_per_atom": -2.70,
  "e_above_lowest_polymorph_mev_per_atom": 25.0
}

=====

2.
{
  "formula": "RbHPd",
  "functional": "GGA-PBE",
  "state": "relaxed",
  "lattice_angstrom": [[3.9613, -0.0611, 0.0176], [0.0615, 3.8864, -0.3627], [0.0162, 1.0614, 9.9263]],
  "species": ["Rb", "Rb", "H", "H", "Pd", "Pd"],
  "fractional_positions": [[0.0262, 0.8487, 0.7447], [0.5192, 0.3262, 0.3021], [0.5230, 0.3385, 0.0146], [0.0229, 0.8378, 0.0323], [0.0231, 0.3380, 0.0237], [0.5232, 0.8378, 0.0231]],
  "volume_a3_per_cell": 154.4,
  "energy_ev_per_atom": -3.32,
  "e_above_lowest_polymorph_mev_per_atom": 0.0
}

=====

3.
{
  "formula": "Rb3H3Pd",
  "functional": "GGA-PBE",
  "state": "relaxed",
  "lattice_angstrom": [[5.7193, 0.0000, 0.0000], [0.0000, 8.4635, 0.0106], [0.0000, -4.2081, 7.3428]],
  "species": ["Rb", "Rb", "Rb", "Rb", "Rb", "Rb", "H", "H", "H", "H", "H", "H", "Pd", "Pd"],
  "fractional_positions": [[0.2500, 0.6210, 0.8099], [0.2500, 0.1888, 0.3790], [0.2500, 0.1894, 0.8119], [0.7500, 0.3790, 0.1901], [0.7500, 0.8112, 0.6210], [0.7500, 0.8106, 0.1881], [0.7500, 0.5735, 0.7870], [0.7500, 0.2122, 0.4265], [0.7500, 0.2129, 0.7879], [0.2500, 0.4265, 0.2130], [0.2500, 0.7878, 0.5735], [0.2500, 0.7871, 0.2121], [0.7500, 0.3331, 0.6669], [0.2500, 0.6669, 0.3331]],
  "volume_a3_per_cell": 355.7,
  "energy_ev_per_atom": -2.73,
  "e_above_lowest_polymorph_mev_per_atom": 0.0
}

=====

4.
{
  "formula": "Rb3H5Pd",
  "functional": "GGA-PBE",
  "state": "relaxed",
  "lattice_angstrom": [[-7.6016, 0.1187, -1.2470], [-0.3004, -7.6184, 1.1060], [2.9542, 4.6842, 6.2353]],
  "species": ["Rb", "Rb", "Rb", "Rb", "Rb", "Rb", "H", "H", "H", "H", "H", "H", "H", "H", "H", "H", "Pd", "Pd"],
  "fractional_positions": [[0.6870, 0.1870, 0.0000], [0.3130, 0.8130, 0.0000], [0.8130, 0.6870, 0.0000], [0.1870, 0.3130, 0.0000], [0.2500, 0.2500, 0.5000], [0.7500, 0.7500, 0.5000], [0.9525, 0.4525, 0.6984], [0.7459, 0.2459, 0.6984], [0.2459, 0.9525, 0.6984], [0.4525, 0.7459, 0.6984], [0.0475, 0.5475, 0.3016], [0.2541, 0.7541, 0.3016], [0.7541, 0.0475, 0.3016], [0.5475, 0.2541, 0.3016], [0.5000, 0.5000, 0.0000], [0.0000, 0.0000, 0.0000], [0.7500, 0.2500, 0.5000], [0.2500, 0.7500, 0.5000]],
  "volume_a3_per_cell": 374.8,
  "energy_ev_per_atom": -2.79,
  "e_above_lowest_polymorph_mev_per_atom": 233.5
}

=====

5.
{
  "formula": "RbH2Pd2",
  "functional": "GGA-PBE",
  "state": "relaxed",
  "lattice_angstrom": [[-2.2585, -2.6999, -1.5792], [3.1240, -2.0434, -0.9743], [0.1971, -5.1902, 3.8792]],
  "species": ["H", "H", "Rb", "Pd", "Pd"],
  "fractional_positions": [[0.7500, 0.2500, 0.5000], [0.2500, 0.7500, 0.5000], [0.0000, 0.0000, 0.0000], [0.2644, 0.2644, 0.4712], [0.7356, 0.7356, 0.5288]],
  "volume_a3_per_cell": 87.5,
  "energy_ev_per_atom": -3.78,
  "e_above_lowest_polymorph_mev_per_atom": 0.0
}

=====

6.
{
  "formula": "Rb2H4Pd",
  "functional": "GGA-PBE",
  "state": "relaxed",
  "lattice_angstrom": [[-5.8361, 0.4871, -0.2404], [-0.4259, -5.7134, -1.2372], [-0.4912, -1.7689, 8.3383]],
  "species": ["Rb", "Rb", "Rb", "Rb", "H", "H", "H", "H", "H", "H", "H", "H", "Pd", "Pd"],
  "fractional_positions": [[0.0000, 0.5000, 0.2500], [0.5000, 0.0000, 0.7500], [0.0000, 0.5000, 0.7500], [0.5000, 0.0000, 0.2500], [0.5000, 0.5000, 0.3052], [0.0000, 0.0000, 0.8052], [0.5000, 0.5000, 0.6948], [0.0000, 0.0000, 0.1948], [0.2991, 0.7009, 0.5000], [0.7009, 0.2991, 0.5000], [0.2009, 0.2009, 0.0000], [0.7991, 0.7991, 0.0000], [0.5000, 0.5000, 0.5000], [0.0000, 0.0000, 0.0000]],
  "volume_a3_per_cell": 293.3,
  "energy_ev_per_atom": -3.23
}